# 1
! SmCo3Ge3, optimized geometry, DFT PBE-GGA; values from VASP
! D(E_F), states/eV per atom: 1.22
! Space-group type: Pm-3n, No. 223
! Energy relative to the elements, kJ/mol of formula units: -19
! Offset from the most stable computed form, eV/atom: 0.304
&SYSTEM
  ibrav = 0, nat = 14, ntyp = 3
/
ATOMIC_SPECIES
Sm 150.36 Sm.upf
Co 58.93 Co.upf
Ge 72.64 Ge.upf
CELL_PARAMETERS angstrom
6.3761 0.0000 0.0000
0.0000 6.3761 0.0000
0.0000 0.0000 6.3761
ATOMIC_POSITIONS angstrom
Sm 0.0000 0.0000 0.0000
Sm 3.1880 3.1880 3.1880
Co 0.0000 1.5940 3.1880
Co 0.0000 4.7821 3.1880
Co 1.5940 3.1880 0.0000
Co 3.1880 0.0000 1.5940
Co 3.1880 0.0000 4.7821
Co 4.7821 3.1880 0.0000
Ge 0.0000 3.1880 1.5940
Ge 0.0000 3.1880 4.7821
Ge 1.5940 0.0000 3.1880
Ge 3.1880 1.5940 0.0000
Ge 3.1880 4.7821 0.0000
Ge 4.7821 0.0000 3.1880

=====

# 2
! Sm12Co6Ge, optimized geometry, DFT PBE-GGA; values from VASP
! D(E_F), states/eV per atom: 0.53
! Space-group type: Im-3, No. 204
! Energy relative to the elements, kJ/mol of formula units: -343
&SYSTEM
  ibrav = 0, nat = 19, ntyp = 3
/
ATOMIC_SPECIES
Sm 150.36 Sm.upf
Co 58.93 Co.upf
Ge 72.64 Ge.upf
CELL_PARAMETERS angstrom
-4.9077 4.9077 4.9077
4.9077 -4.9077 4.9077
4.9077 4.9077 -4.9077
ATOMIC_POSITIONS angstrom
Sm 4.9077 3.0153 -1.9391
Sm 2.9686 0.0000 1.8924
Sm 6.8467 0.0000 1.8924
Sm 1.8924 2.9686 0.0000
Sm 3.0153 -1.9391 4.9077
Sm 0.0000 1.8924 2.9686
Sm 4.9077 3.0153 1.9391
Sm 1.8924 6.8467 0.0000
Sm 3.0153 1.9391 4.9077
Sm -1.9391 4.9077 3.0153
Sm 1.9391 4.9077 3.0153
Sm 0.0000 1.8924 6.8467
Co 4.9077 1.1042 0.0000
Co 4.9077 0.0000 3.8035
Co 3.8035 4.9077 0.0000
Co 1.1042 0.0000 4.9077
Co 0.0000 4.9077 1.1042
Co 0.0000 3.8035 4.9077
Ge 0.0000 0.0000 0.0000

=====

# 3
! Sm2Co2Ge3, optimized geometry, DFT PBE-GGA; values from VASP
! D(E_F), states/eV per atom: 0.85
! Space-group type: Cmcm, No. 63
! Energy relative to the elements, kJ/mol of formula units: -393
&SYSTEM
  ibrav = 0, nat = 14, ntyp = 3
/
ATOMIC_SPECIES
Sm 150.36 Sm.upf
Co 58.93 Co.upf
Ge 72.64 Ge.upf
CELL_PARAMETERS angstrom
2.0941 -8.9483 0.0000
2.0941 8.9483 0.0000
0.0000 0.0000 6.8413
ATOMIC_POSITIONS angstrom
Sm 2.0941 7.9995 5.1310
Sm 2.0941 6.0723 1.7103
Sm 2.0941 -6.0723 5.1310
Sm 2.0941 -7.9995 1.7103
Co 2.0941 3.5112 0.4076
Co 2.0941 3.5112 3.0130
Co 2.0941 -3.5112 3.8283
Co 2.0941 -3.5112 6.4337
Ge 2.0941 4.9748 5.1310
Ge 2.0941 1.2050 3.8400
Ge 2.0941 1.2050 6.4220
Ge 2.0941 -1.2050 0.4194
Ge 2.0941 -1.2050 3.0013
Ge 2.0941 -4.9748 1.7103

=====

# 4
! Sm2CoGe, optimized geometry, DFT PBE-GGA; values from VASP
! D(E_F), states/eV per atom: 0.85
! Space-group type: Fmmm, No. 69
! Energy relative to the elements, kJ/mol of formula units: -147
&SYSTEM
  ibrav = 0, nat = 8, ntyp = 3
/
ATOMIC_SPECIES
Sm 150.36 Sm.upf
Co 58.93 Co.upf
Ge 72.64 Ge.upf
CELL_PARAMETERS angstrom
0.0000 4.7464 4.8196
3.8477 0.0000 4.8196
3.8477 4.7464 0.0000
ATOMIC_POSITIONS angstrom
Sm 6.1349 4.7464 4.8196
Sm 1.9238 2.3732 2.4098
Sm 5.7715 7.1196 7.2294
Sm 1.5605 4.7464 4.8196
Co 3.8477 3.1882 4.8196
Co 3.8477 6.3046 4.8196
Ge 3.8477 4.7464 2.8605
Ge 3.8477 4.7464 6.7788

=====

# 5
! Sm2Co3Ge5, optimized geometry, DFT PBE-GGA; values from VASP
! D(E_F), states/eV per atom: 0.55
! Space-group type: C2/c, No. 15
! Energy relative to the elements, kJ/mol of formula units: -572
! Offset from the most stable computed form, eV/atom: 0.000
&SYSTEM
  ibrav = 0, nat = 20, ntyp = 3
/
ATOMIC_SPECIES
Sm 150.36 Sm.upf
Co 58.93 Co.upf
Ge 72.64 Ge.upf
CELL_PARAMETERS angstrom
5.6122 -5.9298 0.0000
5.6122 5.9298 0.0000
-2.8957 0.0000 5.0468
ATOMIC_POSITIONS angstrom
Sm 1.9590 1.6190 1.1804
Sm 0.5112 -1.6190 3.7038
Sm 7.8175 1.6190 1.3430
Sm 6.3697 -1.6190 3.8664
Co 3.3578 4.2914 1.9277
Co 6.4187 4.2914 0.5957
Co 4.8883 0.0556 1.2617
Co 3.4404 -0.0556 3.7851
Co 1.9100 -4.2914 4.4512
Co 4.9709 -4.2914 3.1191
Ge 3.4404 5.8502 3.7851
Ge 1.3676 1.1248 4.1953
Ge 3.4404 2.7576 3.7851
Ge 4.8883 2.6216 1.2617
Ge 2.8154 -1.1248 1.6719
Ge 5.5133 1.1248 3.3749
Ge 3.4404 -2.6216 3.7851
Ge 4.8883 -2.7576 1.2617
Ge 6.9611 -1.1248 0.8515
Ge 4.8883 -5.8502 1.2617

=====

# 6
! Sm3Co2Ge2, optimized geometry, DFT PBE-GGA; values from VASP
! D(E_F), states/eV per atom: 0.88
! Space-group type: Immm, No. 71
! Energy relative to the elements, kJ/mol of formula units: -370
&SYSTEM
  ibrav = 0, nat = 7, ntyp = 3
/
ATOMIC_SPECIES
Sm 150.36 Sm.upf
Co 58.93 Co.upf
Ge 72.64 Ge.upf
CELL_PARAMETERS angstrom
-2.1039 2.1074 8.5686
2.1039 -2.1074 8.5686
2.1039 2.1074 -8.5686
ATOMIC_POSITIONS angstrom
Sm 0.0000 0.0000 0.0000
Sm 2.1039 0.0000 5.5085
Sm 0.0000 2.1074 3.0601
Co 0.0000 0.0000 7.4601
Co 0.0000 0.0000 9.6770
Ge 2.1039 0.0000 2.3513
Ge 0.0000 2.1074 6.2173

=====

# 7
! Sm4CoGe3, optimized geometry, DFT PBE-GGA; values from VASP
! D(E_F), states/eV per atom: 1.01
! Space-group type: Pmm2, No. 25
! Energy relative to the elements, kJ/mol of formula units: -502
&SYSTEM
  ibrav = 0, nat = 8, ntyp = 3
/
ATOMIC_SPECIES
Sm 150.36 Sm.upf
Co 58.93 Co.upf
Ge 72.64 Ge.upf
CELL_PARAMETERS angstrom
4.0534 0.0000 0.0000
0.0000 4.2962 0.0000
0.0000 0.0000 10.8558
ATOMIC_POSITIONS angstrom
Sm 0.0000 0.0000 0.0000
Sm 0.0000 2.1481 5.2283
Sm 2.0267 0.0000 7.6749
Sm 2.0267 2.1481 2.3340
Co 0.0000 0.0000 3.0497
Ge 0.0000 2.1481 8.3344
Ge 2.0267 0.0000 4.5437
Ge 2.0267 2.1481 10.0755

=====

# 8
! SmCo3Ge3, optimized geometry, DFT PBE-GGA; values from VASP
! D(E_F), states/eV per atom: 0.56
! Space-group type: P6_3/m, No. 176
! Energy relative to the elements, kJ/mol of formula units: -224
! Offset from the most stable computed form, eV/atom: 0.000
&SYSTEM
  ibrav = 0, nat = 14, ntyp = 3
/
ATOMIC_SPECIES
Sm 150.36 Sm.upf
Co 58.93 Co.upf
Ge 72.64 Ge.upf
CELL_PARAMETERS angstrom
8.2432 0.0000 0.0000
-4.1216 7.1389 0.0000
0.0000 0.0000 4.0492
ATOMIC_POSITIONS angstrom
Sm 0.0000 4.7592 1.0123
Sm 4.1216 2.3796 3.0369
Co -0.3441 1.4407 1.0123
Co -2.7019 6.7165 1.0123
Co 1.0756 1.0183 3.0369
Co 3.0460 6.1205 1.0123
Co 6.8235 0.4224 3.0369
Co 4.4657 5.6982 3.0369
Ge -0.7229 2.6659 3.0369
Ge -1.4515 6.4320 3.0369
Ge 1.9472 1.9590 1.0123
Ge 2.1744 5.1799 3.0369
Ge 5.5731 0.7069 1.0123
Ge 4.8446 4.4730 1.0123

=====

# 9
! Sm2Co16Ge, optimized geometry, DFT PBE-GGA; values from VASP
! D(E_F), states/eV per atom: 1.19
! Space-group type: R3m, No. 160
! Energy relative to the elements, kJ/mol of formula units: -148
&SYSTEM
  ibrav = 0, nat = 19, ntyp = 3
/
ATOMIC_SPECIES
Sm 150.36 Sm.upf
Co 58.93 Co.upf
Ge 72.64 Ge.upf
CELL_PARAMETERS angstrom
4.1931 2.4209 4.0469
-4.1931 2.4209 4.0469
0.0000 -4.8418 4.0469
ATOMIC_POSITIONS angstrom
Sm 0.0000 0.0000 0.0000
Sm 0.0000 0.0000 3.7381
Co 0.0000 -2.4480 2.0535
Co -2.1201 1.2240 2.0535
Co -2.1290 -1.2292 5.9616
Co 0.0000 -2.4076 5.7465
Co -2.0850 1.2038 5.7465
Co -1.2109 -2.0925 7.9872
Co -2.4176 -0.0024 7.9872
Co 2.1201 1.2240 2.0535
Co 1.2109 -2.0925 7.9872
Co -1.2067 2.0949 7.9872
Co 2.1290 -1.2292 5.9616
Co 0.0000 2.4584 5.9616
Co 0.0000 0.0000 9.1647
Co 2.0850 1.2038 5.7465
Co 2.4176 -0.0024 7.9872
Co 1.2067 2.0949 7.9872
Ge 0.0000 0.0000 6.7741

=====

# 10
! Sm3CoGe, optimized geometry, DFT PBE-GGA; values from VASP
! D(E_F), states/eV per atom: 0.70
! Space-group type: C2/m, No. 12
! Energy relative to the elements, kJ/mol of formula units: -177
! Offset from the most stable computed form, eV/atom: 0.000
&SYSTEM
  ibrav = 0, nat = 10, ntyp = 3
/
ATOMIC_SPECIES
Sm 150.36 Sm.upf
Co 58.93 Co.upf
Ge 72.64 Ge.upf
CELL_PARAMETERS angstrom
7.2288 -2.1260 0.0000
7.2288 2.1260 0.0000
-0.1524 0.0000 8.2600
ATOMIC_POSITIONS angstrom
Sm 0.6444 0.0000 2.5952
Sm 3.4289 0.0000 5.7675
Sm 5.5505 0.0000 0.4929
Sm 8.7547 0.0000 7.7671
Sm 10.8763 0.0000 2.4925
Sm 13.6608 0.0000 5.6648
Co 2.8647 0.0000 0.6491
Co 11.4404 0.0000 7.6109
Ge 5.6343 0.0000 3.5786
Ge 8.6709 0.0000 4.6814

=====

# 11
! SmCo2Ge7, optimized geometry, DFT PBE-GGA; values from VASP
! D(E_F), states/eV per atom: 0.31
! Space-group type: Cmmm, No. 65
! Energy relative to the elements, kJ/mol of formula units: -36
&SYSTEM
  ibrav = 0, nat = 10, ntyp = 3
/
ATOMIC_SPECIES
Sm 150.36 Sm.upf
Co 58.93 Co.upf
Ge 72.64 Ge.upf
CELL_PARAMETERS angstrom
3.9438 -6.2938 0.0000
3.9438 6.2938 0.0000
0.0000 0.0000 4.0691
ATOMIC_POSITIONS angstrom
Sm 0.0000 0.0000 0.0000
Co 3.9438 2.2232 2.0346
Co 3.9438 -2.2232 2.0346
Ge 1.5795 1.8589 2.0346
Ge 3.9438 3.3012 0.0000
Ge 1.5795 -1.8589 2.0346
Ge 3.9438 0.0000 2.0346
Ge 6.3080 1.8589 2.0346
Ge 3.9438 -3.3012 0.0000
Ge 6.3080 -1.8589 2.0346

=====

# 12
! Sm2Co3Ge5, optimized geometry, DFT PBE-GGA; values from VASP
! D(E_F), states/eV per atom: 0.70
! Space-group type: Cmc2_1, No. 36
! Energy relative to the elements, kJ/mol of formula units: -464
! Offset from the most stable computed form, eV/atom: 0.112
&SYSTEM
  ibrav = 0, nat = 20, ntyp = 3
/
ATOMIC_SPECIES
Sm 150.36 Sm.upf
Co 58.93 Co.upf
Ge 72.64 Ge.upf
CELL_PARAMETERS angstrom
2.0442 -12.2995 0.0000
2.0442 12.2995 0.0000
0.0000 0.0000 6.7102
ATOMIC_POSITIONS angstrom
Sm 2.0442 11.7057 3.3551
Sm 2.0442 4.3036 3.2532
Sm 2.0442 -4.3036 6.6083
Sm 2.0442 -11.7057 0.0000
Co 2.0442 9.6337 1.5503
Co 2.0442 5.4221 6.6810
Co 2.0442 1.3293 1.9011
Co 2.0442 -1.3293 5.2562
Co 2.0442 -5.4221 3.3259
Co 2.0442 -9.6337 4.9055
Ge 2.0442 9.9726 5.8416
Ge 2.0442 7.2560 1.9683
Ge 2.0442 7.0580 4.7084
Ge 2.0442 2.9844 6.6089
Ge 2.0442 1.2770 4.4482
Ge 2.0442 -1.2770 1.0931
Ge 2.0442 -2.9844 3.2537
Ge 2.0442 -7.0580 1.3533
Ge 2.0442 -7.2560 5.3235
Ge 2.0442 -9.9726 2.4865